This record from Alexandria describes a relaxed structure of KCa2Mg2V3O12. The functional is PBE with a Hubbard U.

* total DFT energy (no corrections): -6.930 eV per atom

abc: 12.617 12.617 12.992
angles: 90.00 90.00 90.00
Space group I4_1/acd (No. 142, origin choice 2)
Unique sites:
K 0.000 0.250 0.125 (multiplicity 8)
Ca 0.121 0.000 0.250 (multiplicity 16)
Mg 0.000 0.000 0.000 (multiplicity 16)
V 0.000 0.250 0.375 (multiplicity 8)
V 0.128 0.000 0.750 (multiplicity 16)
O 0.040 0.042 0.655 (multiplicity 32)
O 0.056 0.154 0.955 (multiplicity 32)
O 0.154 0.033 0.452 (multiplicity 32)